Ca4TeW, relaxed, DFT PBE-GGA; magnetization = 0.46 μB per atom; formation energy from raw total energies = 820 meV/atom
1.0
-3.009 -4.331 3.657
-6.079 -1.612 -1.280
-1.349 -5.812 -2.363
Ca Te W
4 1 1
Cartesian
-5.421 -6.580 1.851
-4.583 -7.328 -1.188
-6.970 -5.208 -0.641
-3.902 -4.394 0.005
-7.828 -8.816 0.010
0.000 0.000 0.000